This record from Alexandria via LeMat-Bulk describes a PBEsol-optimized structure of CaFeO2. The functional is meta-GGA SCAN.

a b c (Å): 3.235 3.235 6.466
angles (deg): 75.51 75.51 60.00
Fractional positions:
1 Ca 0.000 0.000 0.000
2 Fe 0.500 0.500 0.500
3 O 0.886 0.886 0.343
4 O 0.114 0.114 0.657

Summary:
D(E_F) = 1.61 states/eV/f.u.
Formation energy without anion corrections = -5.9 eV/f.u.
Mass density = 3.8 Mg/m³